Entry 1:
VASP calculation (PBE) on ZnTcMo after structural relaxation.

Cell and atoms, written as extended XYZ:
```
6
Lattice="-1.8455 -1.0966 -2.0944 2.5661 -0.9361 -3.9183 -9.0600 -5.8959 8.9230" Properties=species:S:1:pos:R:3 pbc="T T T"
Tc -1.0301 -2.2010 -0.0872
Tc -7.3092 -5.7277 2.9975
Zn -0.8091 -1.5523 -2.7690
Zn -7.5303 -6.3764 5.6793
Mo -3.3643 -3.2996 0.3974
Mo -4.9750 -4.6291 2.5129
```

Computed properties:
Symmetry: No. 12
Crystal system: monoclinic

---

Entry 2:
VASP calculation (PBE) on Zn2Tc3Mo after structural relaxation.

Cell and atoms, written as extended XYZ:
```
12
Lattice="-0.1469 5.1741 1.2464 -2.3384 2.0694 -4.1276 -3.9228 -7.0250 4.8051" Properties=species:S:1:pos:R:3 pbc="T T T"
Mo -5.0137 -4.7046 3.0302
Mo -1.3945 4.9232 -1.1063
Tc -3.8391 -3.2516 1.1559
Tc -3.7136 0.5883 -2.2113
Tc -2.6945 -0.3697 4.1352
Tc -2.5690 3.4701 0.7680
Tc 0.0000 0.0000 0.0000
Tc -0.0735 2.5871 0.6232
Zn -3.6965 3.2138 -1.6964
Zn -3.9208 -0.6662 1.7577
Zn -2.7116 -2.9953 3.6202
Zn -2.4874 0.8848 0.1662
```

Computed properties:
Symmetry: No. 2
Crystal system: triclinic

---

Entry 3:
VASP calculation (PBE) on ZnTc3Mo after structural relaxation.

Cell and atoms, written as extended XYZ:
```
5
Lattice="4.4224 0.0000 0.0000 0.0000 4.4224 0.0000 0.0000 0.0000 4.4224" Properties=species:S:1:pos:R:3 pbc="T T T"
Mo 2.2112 2.2112 2.2112
Tc 2.2112 0.0000 0.0000
Tc 0.0000 0.0000 2.2112
Tc 0.0000 2.2112 0.0000
Zn 0.0000 0.0000 0.0000
```

Computed properties:
Symmetry: No. 221
Crystal system: cubic

---

Entry 4:
VASP calculation (PBE) on ZnTcMo2 after structural relaxation.

Cell and atoms, written as extended XYZ:
```
4
Lattice="9.2599 0.0096 0.0056 8.8389 2.7603 0.0056 8.8389 1.3527 2.4061" Properties=species:S:1:pos:R:3 pbc="T T T"
Zn 20.2032 3.0920 1.8130
Mo 13.5249 2.0699 1.2137
Mo 26.8815 4.1140 2.4123
Tc 6.7344 1.0307 0.6043
```

Computed properties:
Symmetry: No. 166
Crystal system: trigonal

---

Entry 5:
VASP calculation (PBE) on ZnTcMo4 after structural relaxation.

Cell and atoms, written as extended XYZ:
```
6
Lattice="-2.4001 -1.6737 4.2634 -5.0922 0.7119 0.5486 -3.2182 -4.0389 -0.2615" Properties=species:S:1:pos:R:3 pbc="T T T"
Mo -6.6987 -3.1276 2.8461
Mo -5.4945 -2.2879 0.7070
Mo -5.0840 -1.1012 2.9772
Mo -4.1438 -3.4848 2.5708
Zn 0.0000 0.0000 0.0000
Tc -2.6776 -1.2502 1.1376
```

Computed properties:
Symmetry: No. 216
Crystal system: cubic

---

Entry 6:
VASP calculation (PBE) on ZnTcMo2 after structural relaxation.

Cell and atoms, written as extended XYZ:
```
4
Lattice="4.8656 0.0001 0.0000 -1.8584 4.4967 0.0000 0.0000 0.0000 2.7587" Properties=species:S:1:pos:R:3 pbc="T T T"
Mo 1.5036 2.2484 0.0000
Mo 0.0000 0.0000 0.0000
Tc 2.4328 0.0001 1.3794
Zn -0.9292 2.2483 1.3794
```

Computed properties:
Symmetry: No. 65
Crystal system: orthorhombic

---

Entry 7:
VASP calculation (PBE) on ZnTcMo2 after structural relaxation.

Cell and atoms, written as extended XYZ:
```
4
Lattice="-2.5840 -0.6961 0.8681 -0.2969 -1.6839 -2.2341 2.9398 -5.8765 4.0386" Properties=species:S:1:pos:R:3 pbc="T T T"
Mo 1.4506 -2.8996 1.9927
Mo 0.0193 -0.0387 0.0266
Zn 0.7644 -5.5974 2.3460
Tc -0.7055 -2.6591 0.3266
```

Computed properties:
Symmetry: No. 123
Crystal system: tetragonal

---

Entry 8:
VASP calculation (PBE) on Zr2Tc3Mo after structural relaxation.

Cell and atoms, written as extended XYZ:
```
6
Lattice="-3.1095 1.0520 4.2620 0.5845 -5.0653 -1.7151 5.1930 0.5204 0.2813" Properties=species:S:1:pos:R:3 pbc="T T T"
Mo 0.0000 0.0000 0.0000
Tc 1.3340 -1.7464 1.4141
Tc 2.5965 0.2602 0.1406
Tc 1.0418 0.7862 2.2716
Zr 4.1370 -2.4478 0.2443
Zr -1.4689 -1.0451 2.5839
```

Computed properties:
Symmetry: No. 12
Crystal system: monoclinic

---

Entry 9:
VASP calculation (PBE) on ZrTc2Mo after structural relaxation.

Cell and atoms, written as extended XYZ:
```
4
Lattice="3.2030 0.0000 0.0000 0.0000 4.6100 0.0000 0.0000 0.0000 4.4551" Properties=species:S:1:pos:R:3 pbc="T T T"
Zr 1.6015 0.0000 2.2276
Tc 0.0000 0.0000 0.0000
Tc 1.6015 2.3050 0.0000
Mo 0.0000 2.3050 2.2276
```

Computed properties:
Symmetry: No. 47
Crystal system: orthorhombic

---

Entry 10:
VASP calculation (PBE) on ZrTc2Mo after structural relaxation.

Cell and atoms, written as extended XYZ:
```
4
Lattice="4.5217 0.0000 0.0000 2.2608 3.9159 0.0000 2.2608 1.3053 3.6919" Properties=species:S:1:pos:R:3 pbc="T T T"
Tc 2.2608 1.3053 0.9230
Tc 0.0000 0.0000 0.0000
Mo 4.5217 2.6106 1.8460
Zr 6.7825 3.9159 2.7690
```

Computed properties:
Symmetry: No. 216
Crystal system: cubic

---

Entry 11:
VASP calculation (PBE) on Zr3TcMo after structural relaxation.

Cell and atoms, written as extended XYZ:
```
5
Lattice="4.9575 0.0000 0.0000 0.0000 4.9575 0.0000 0.0000 0.0000 4.9575" Properties=species:S:1:pos:R:3 pbc="T T T"
Zr 0.0000 2.4788 0.0000
Zr 2.4788 0.0000 0.0000
Zr 0.0000 0.0000 2.4788
Mo 0.0000 0.0000 0.0000
Tc 2.4788 2.4788 2.4788
```

Computed properties:
Symmetry: No. 221
Crystal system: cubic

---

Entry 12:
VASP calculation (PBE) on ZrTc2Mo after structural relaxation.

Cell and atoms, written as extended XYZ:
```
4
Lattice="2.8227 -0.0066 0.0000 -1.0330 2.6269 0.0000 0.0000 0.0000 8.8917" Properties=species:S:1:pos:R:3 pbc="T T T"
Tc 0.0000 0.0000 8.7859
Tc 0.0000 0.0000 4.5516
Mo 0.8949 1.3101 6.6687
Zr 0.8949 1.3101 2.2229
```

Computed properties:
Symmetry: No. 65
Crystal system: orthorhombic

---

Per-record total magnetic moment, μB per cell: 0.00 0.00 0.00 0.00 0.00 0.00 0.00 0.00 0.00 0.00 1.11 0.00
Per-record electronic total energy, eV per atom: -7.2624 -7.3075 -6.9512 -8.1612 -8.8075 -8.1436 -8.1290 -10.1044 -10.0676 -10.0771 -8.2427 -10.0059